Density functional theory data (GGA-PBE) for Ca2WCl after structural relaxation.

Values from the calculation:
Volume, A^3/atom: 23.676
Raw formation energy, meV per atom: 180.6

Lattice parameters (Å, degrees): 3.044 5.577 5.579 90.00 90.01 90.00
Space group Pm (No. 6)
Unique sites:
Ca1 0.000 0.000 0.000 (multiplicity 1)
Ca2 0.000 0.500 0.498 (multiplicity 1)
W1 0.500 0.500 0.997 (multiplicity 1)
Cl1 0.504 0.000 0.492 (multiplicity 1)

***

Density functional theory data (GGA-PBE) for Ho2MgCuSi4O12 after structural relaxation.

Values from the calculation:
Volume, A^3/atom: 12.951
Raw formation energy, meV per atom: -2694.3

Lattice parameters (Å, degrees): 5.226 7.282 7.722 63.23 87.69 81.09
Space group P1 (No. 1)
Unique sites:
Ho1 0.000 0.000 0.000 (multiplicity 1)
Ho2 0.028 0.575 0.833 (multiplicity 1)
Mg1 0.938 0.016 0.437 (multiplicity 1)
Cu1 0.205 0.716 0.407 (multiplicity 1)
Si1 0.427 0.221 0.186 (multiplicity 1)
Si2 0.431 0.987 0.640 (multiplicity 1)
Si3 0.594 0.607 0.179 (multiplicity 1)
Si4 0.602 0.373 0.639 (multiplicity 1)
O1 0.172 0.898 0.751 (multiplicity 1)
O2 0.192 0.231 0.052 (multiplicity 1)
O3 0.305 0.141 0.411 (multiplicity 1)
O4 0.359 0.528 0.660 (multiplicity 1)
O5 0.368 0.797 0.157 (multiplicity 1)
O6 0.459 0.472 0.092 (multiplicity 1)
O7 0.521 0.137 0.729 (multiplicity 1)
O8 0.678 0.437 0.409 (multiplicity 1)
O9 0.694 0.841 0.635 (multiplicity 1)
O10 0.712 0.090 0.201 (multiplicity 1)
O11 0.849 0.687 0.058 (multiplicity 1)
O12 0.855 0.343 0.769 (multiplicity 1)

***

Density functional theory data (GGA-PBE) for Ac2DyTmSe4 after structural relaxation.

Values from the calculation:
Volume, A^3/atom: 27.274
Raw formation energy, meV per atom: -1783.6

Lattice parameters (Å, degrees): 7.154 4.111 7.787 90.00 107.70 90.00
Space group P2/m (No. 10)
Unique sites:
Ac1 0.000 0.000 0.000 (multiplicity 1)
Ac2 0.500 0.500 0.000 (multiplicity 1)
Dy1 0.000 0.500 0.500 (multiplicity 1)
Tm1 0.500 0.000 0.500 (multiplicity 1)
Se1 0.241 0.000 0.717 (multiplicity 2)
Se2 0.265 0.500 0.285 (multiplicity 2)

***

Density functional theory data (GGA-PBE) for Li3Dy2AlSe6 after structural relaxation.

Values from the calculation:
Volume, A^3/atom: 22.056
Raw formation energy, meV per atom: -1436.7

Lattice parameters (Å, degrees): 6.876 11.920 6.847 90.00 109.41 90.00
Space group C2/m (No. 12)
Unique sites:
Li1 0.000 0.000 0.000 (multiplicity 2)
Li2 0.000 0.341 0.000 (multiplicity 4)
Dy1 0.000 0.168 0.500 (multiplicity 4)
Al1 0.000 0.500 0.500 (multiplicity 2)
Se1 0.228 0.500 0.261 (multiplicity 4)
Se2 0.236 0.346 0.746 (multiplicity 8)

***

Density functional theory data (GGA-PBE) for Li2HRh after structural relaxation.

Values from the calculation:
Volume, A^3/atom: 10.951
VASP energy, eV/cell: -45.7

Lattice parameters (Å, degrees): 2.6699 2.6699 21.2875 90.00 90.00 120.00
Space group R-3m (No. 166, hexagonal axes)
Unique sites:
Li1 0.0000 0.0000 0.1121 (multiplicity 6)
H1 0.0000 0.0000 0.5000 (multiplicity 3)
Rh1 0.0000 0.0000 0.0000 (multiplicity 3)

***

Density functional theory data (GGA-PBE) for RbNaCaI4 after structural relaxation.

Values from the calculation:
Volume, A^3/atom: 49.079
Raw formation energy, meV per atom: -1442.7

Lattice parameters (Å, degrees): 9.397 9.498 15.397 90.00 90.00 90.00
Space group Imma (No. 74)
Unique sites:
Rb1 0.000 0.250 0.110 (multiplicity 4)
Na1 0.000 0.000 0.500 (multiplicity 4)
Ca1 0.250 0.250 0.750 (multiplicity 4)
I1 0.000 0.024 0.735 (multiplicity 8)
I2 0.228 0.250 0.544 (multiplicity 8)

***

Density functional theory data (GGA-PBE) for La2HoEr after structural relaxation.

Values from the calculation:
Volume, A^3/atom: 34.257
Energy of formation from the pure elements, eV/atom: 0.079

Lattice parameters (Å, degrees): 8.184 8.184 8.184 90.00 90.00 90.00
Space group Fm-3m (No. 225)
Unique sites:
La1 0.250 0.250 0.250 (multiplicity 8)
Ho1 0.000 0.000 0.000 (multiplicity 4)
Er1 0.000 0.000 0.500 (multiplicity 4)

***

Density functional theory data (GGA-PBE) for Tb3Cd3Rh after structural relaxation.

Values from the calculation:
Volume, A^3/atom: 25.368
Energy of formation from the pure elements, eV/atom: -0.455

Lattice parameters (Å, degrees): 14.163 14.163 14.163 90.00 90.00 90.00
Space group Fd-3m (No. 227, origin choice 2)
Unique sites:
Tb1 0.081 0.375 0.375 (multiplicity 48)
Cd1 0.000 0.000 0.500 (multiplicity 16)
Cd2 0.042 0.042 0.708 (multiplicity 32)
Rh1 0.000 0.000 0.000 (multiplicity 16)

***

Which formula does entry 1 have? Ca2WCl

***

volume of number 7 (La2HoEr)? 34.257 A^3/atom